A plane-wave DFT calculation with GGA-PBE was carried out for a geometry-optimized LaNb2FeMo structure.

Lattice parameters (Å, degrees): 4.914 4.914 4.633 90.00 90.00 90.00
Space group P4/mmm (No. 123)
One atom of each set of equivalent atoms:
La1 0.000 0.000 0.000 (multiplicity 1)
Nb1 0.000 0.500 0.500 (multiplicity 2)
Fe1 0.500 0.500 0.000 (multiplicity 1)
Mo1 0.500 0.500 0.500 (multiplicity 1)

Summary:
ΔE_f   0.89 eV per atom
V   22.38 A^3/atom
Spin magnetization   0.00 Bohr magnetons per cell
Density of states at the Fermi level   1.918 states/eV/atom